Entry 1:
{"formula": "TaV2Ge", "functional": "PBE", "state": "optimized geometry", "lattice_angstrom": [[-3.531, 3.531, 2.601], [3.531, -3.531, 2.601], [3.531, 3.531, -2.601]], "species": ["Ta", "Ta", "V", "V", "V", "V", "Ge", "Ge"], "frac_coords": [[0.000, 0.000, 0.000], [0.750, 0.250, 0.500], [0.149, 0.625, 0.024], [0.375, 0.399, 0.524], [0.601, 0.125, 0.976], [0.875, 0.851, 0.476], [0.250, 0.750, 0.500], [0.500, 0.500, 0.000]], "energy_ha_per_atom": -0.3019, "formation_energy_kcal_per_mol_atoms": 10.67}

---

Entry 2:
{"formula": "CrHg2MoPb", "functional": "PBE", "state": "optimized geometry", "lattice_angstrom": [[5.722, 0.000, 0.000], [0.000, 5.722, 0.000], [0.000, 0.000, 5.359]], "species": ["Cr", "Hg", "Hg", "Mo", "Pb"], "frac_coords": [[0.000, 0.000, 0.000], [0.000, 0.500, 0.500], [0.500, 0.000, 0.500], [0.500, 0.500, 0.000], [0.000, 0.000, 0.500]], "energy_ha_per_atom": -0.1217, "formation_energy_kcal_per_mol_atoms": 37.84}

---

Entry 3:
{"formula": "AcSm6HoTm2", "functional": "PBE", "state": "optimized geometry", "lattice_angstrom": [[4.679, -7.654, 0.000], [4.679, 7.654, 0.000], [-0.883, 0.000, 9.577]], "species": ["Ac", "Ac", "Sm", "Sm", "Sm", "Sm", "Sm", "Sm", "Sm", "Sm", "Sm", "Sm", "Sm", "Sm", "Ho", "Ho", "Tm", "Tm", "Tm", "Tm"], "frac_coords": [[0.030, 0.970, 0.750], [0.970, 0.030, 0.250], [0.007, 0.552, 0.682], [0.123, 0.755, 0.055], [0.245, 0.877, 0.445], [0.289, 0.513, 0.883], [0.448, 0.993, 0.818], [0.487, 0.711, 0.617], [0.513, 0.289, 0.383], [0.552, 0.007, 0.182], [0.711, 0.487, 0.117], [0.755, 0.123, 0.555], [0.877, 0.245, 0.945], [0.993, 0.448, 0.318], [0.413, 0.587, 0.250], [0.587, 0.413, 0.750], [0.206, 0.316, 0.549], [0.316, 0.206, 0.049], [0.684, 0.794, 0.951], [0.794, 0.684, 0.451]], "energy_ha_per_atom": -0.1643, "formation_energy_kcal_per_mol_atoms": 2.86}

---

Entry 4:
{"formula": "PmNd3Sm3", "functional": "PBE", "state": "optimized geometry", "lattice_angstrom": [[4.416, 2.549, 7.431], [-4.416, 2.549, 7.431], [0.000, -5.099, 7.431]], "species": ["Pm", "Pm", "Nd", "Nd", "Nd", "Nd", "Nd", "Nd", "Sm", "Sm", "Sm", "Sm", "Sm", "Sm"], "frac_coords": [[0.154, 0.154, 0.154], [0.846, 0.846, 0.846], [0.067, 0.569, 0.221], [0.221, 0.067, 0.569], [0.431, 0.779, 0.933], [0.569, 0.221, 0.067], [0.779, 0.933, 0.431], [0.933, 0.431, 0.779], [0.210, 0.677, 0.438], [0.323, 0.562, 0.790], [0.438, 0.210, 0.677], [0.562, 0.790, 0.323], [0.677, 0.438, 0.210], [0.790, 0.323, 0.562]], "de_polymorph_mev_per_atom": 0, "energy_ha_per_atom": -0.1668, "formation_energy_kcal_per_mol_atoms": 4.75}

---

Entry 5:
{"formula": "CuTeSN2", "functional": "PBE", "state": "optimized geometry", "lattice_angstrom": [[3.924, 0.000, 0.000], [0.000, 3.924, 0.000], [0.000, 0.000, 4.733]], "species": ["Cu", "Te", "S", "N", "N"], "frac_coords": [[0.000, 0.000, 0.000], [0.500, 0.500, 0.500], [0.000, 0.000, 0.500], [0.000, 0.500, 0.000], [0.500, 0.000, 0.000]], "de_polymorph_mev_per_atom": 58, "energy_ha_per_atom": -0.1501, "e_form_raw_kj_per_mol_atoms": 146.5}

---

Entry 6:
{"formula": "Pr2Dy5Th", "functional": "PBE", "state": "optimized geometry", "lattice_angstrom": [[7.157, 0.000, 0.000], [0.000, 14.345, 0.000], [0.000, 0.000, 5.108]], "species": ["Pr", "Pr", "Pr", "Pr", "Dy", "Dy", "Dy", "Dy", "Dy", "Dy", "Dy", "Dy", "Dy", "Dy", "Th", "Th"], "frac_coords": [[0.249, 0.124, 0.000], [0.251, 0.624, 0.000], [0.749, 0.376, 0.000], [0.751, 0.876, 0.000], [0.000, 0.500, 0.500], [0.007, 0.248, 0.500], [0.240, 0.878, 0.000], [0.260, 0.378, 0.000], [0.493, 0.748, 0.500], [0.500, 0.000, 0.500], [0.507, 0.252, 0.500], [0.740, 0.622, 0.000], [0.760, 0.122, 0.000], [0.993, 0.752, 0.500], [0.000, 0.000, 0.500], [0.500, 0.500, 0.500]], "energy_ha_per_atom": -0.1826, "formation_energy_kcal_per_mol_atoms": 0.72}

---

Entry 7:
{"formula": "Rb2MnRhCl6", "functional": "PBE", "state": "optimized geometry", "lattice_angstrom": [[-3.538, 3.538, 4.984], [3.538, -3.538, 4.984], [3.538, 3.538, -4.984]], "species": ["Rb", "Rb", "Mn", "Rh", "Cl", "Cl", "Cl", "Cl", "Cl", "Cl"], "frac_coords": [[0.250, 0.750, 0.500], [0.750, 0.250, 0.500], [0.000, 0.000, 0.000], [0.500, 0.500, 0.000], [0.248, 0.248, 0.496], [0.248, 0.752, 0.000], [0.257, 0.257, 0.000], [0.743, 0.743, 0.000], [0.752, 0.248, 0.000], [0.752, 0.752, 0.504]], "energy_ha_per_atom": -0.1527, "e_form_raw_kj_per_mol_atoms": -115.8}

---

Entry 8:
{"formula": "AcSmGdHo", "functional": "PBE", "state": "optimized geometry", "lattice_angstrom": [[0.000, 4.143, 4.143], [4.143, 0.000, 4.143], [4.143, 4.143, 0.000]], "species": ["Ac", "Sm", "Gd", "Ho"], "frac_coords": [[0.000, 0.000, 0.000], [0.500, 0.500, 0.500], [0.250, 0.250, 0.250], [0.750, 0.750, 0.750]], "energy_ha_per_atom": -0.2482, "formation_energy_kcal_per_mol_atoms": 2.71}